[1]
Compound: TmPa4S5
Source: Alexandria via LeMat-Bulk
Functional: GGA-PBE
Structure: relaxed

Values from the calculation:
The value obtained for the uncorrected formation energy is -1.662 eV per atom. Its raw total energy is -79.7 eV for the cell shown. Its magnetic moment is 0.01 μB per formula unit. Its volume is 207.2 Å³/f.u.

a b c (Å): 6.728 6.728 6.728
angles (deg): 99.59 99.59 131.83
Fractional coordinates of all 10 atoms:
1 Tm 0.000 0.000 0.000
2 Pa 0.198 0.400 0.599
3 Pa 0.400 0.802 0.202
4 Pa 0.600 0.198 0.798
5 Pa 0.802 0.600 0.401
6 S 0.100 0.705 0.805
7 S 0.295 0.100 0.395
8 S 0.500 0.500 0.000
9 S 0.705 0.900 0.605
10 S 0.900 0.295 0.195

[2]
Compound: TmZrNp2N4
Source: Alexandria via LeMat-Bulk
Functional: GGA-PBE
Structure: relaxed

Values from the calculation:
The value obtained for the uncorrected formation energy is -1.436 eV per atom. Its raw total energy is -83.7 eV for the cell shown. Its magnetic moment is 6.07 μB per formula unit. Its volume is 109.6 Å³/f.u.

a b c (Å): 5.848 3.371 5.891
angles (deg): 90.00 109.30 90.00
Fractional coordinates of all 8 atoms:
1 Tm 0.000 0.000 0.000
2 Zr 0.500 0.500 0.000
3 Np 0.000 0.500 0.500
4 Np 0.500 0.000 0.500
5 N 0.255 0.500 0.247
6 N 0.258 0.000 0.757
7 N 0.742 0.000 0.243
8 N 0.745 0.500 0.753

[3]
Compound: CePm2Y3P6
Source: Alexandria via LeMat-Bulk
Functional: GGA-PBE
Structure: relaxed

Values from the calculation:
Its raw total energy is -86.4 eV for the cell shown. The calculation puts the formation energy at -19.11 eV/f.u. Its magnetic moment is 0.33 μB per formula unit. Its volume is 284.5 Å³/f.u.

a b c (Å): 7.040 7.040 7.030
angles (deg): 99.61 99.61 119.98
Fractional coordinates of all 12 atoms:
1 Ce 0.000 0.000 0.000
2 Pm 0.334 0.666 0.000
3 Pm 0.666 0.334 0.000
4 Y 0.167 0.833 0.500
5 Y 0.500 0.500 0.500
6 Y 0.833 0.167 0.500
7 P 0.085 0.414 0.255
8 P 0.244 0.244 0.746
9 P 0.414 0.085 0.255
10 P 0.586 0.915 0.745
11 P 0.756 0.756 0.254
12 P 0.915 0.586 0.745

[4]
Compound: NaOsAu2
Source: Alexandria via LeMat-Bulk
Functional: GGA-PBE
Structure: relaxed

Values from the calculation:
Its raw total energy is -16.6 eV for the cell shown. The calculation puts the formation energy at 2.48 eV/f.u. The value obtained for the energy above the most stable polymorph in this dataset is 0.0 meV/atom. Its magnetic moment is 1.85 μB per formula unit. Its volume is 70.3 Å³/f.u.

a b c (Å): 4.633 4.633 4.633
angles (deg): 60.00 60.00 60.00
Fractional coordinates of all 4 atoms:
1 Na 0.000 0.000 0.000
2 Os 0.500 0.500 0.500
3 Au 0.250 0.250 0.250
4 Au 0.750 0.750 0.750